Computed, not measured: a geometry-optimized SrLi2NiPb structure at the PBE level of DFT.

Energy of formation in eV/atom: -0.113
Density in g/cm³: 4.99
Energy in eV per atom: -3.112

Unit cell a=4.957 b=4.957 c=4.974 alpha=90.00 beta=90.00 gamma=90.00
Positions (direct):
Sr 0.000 0.000 0.000
Li 0.000 0.500 0.500
Li 0.500 0.000 0.500
Ni 0.500 0.500 0.500
Pb 0.500 0.500 0.000

***

Computed, not measured: a geometry-optimized PIrRhO2 structure at the PBE level of DFT.

ΔE to the lowest computed polymorph in eV/f.u.: 1.52
Density in g/cm³: 7.77
Energy in eV per atom: -5.967

Unit cell a=3.636 b=3.636 c=5.785 alpha=90.00 beta=90.00 gamma=90.00
Positions (direct):
P 0.000 0.000 0.000
Ir 0.500 0.500 0.000
Rh 0.000 0.000 0.500
O 0.000 0.500 0.500
O 0.500 0.000 0.500

***

Computed, not measured: a geometry-optimized Re2As2Rh structure at the PBE level of DFT.

ΔE to the lowest computed polymorph in eV/f.u.: 0.00
Energy of formation in eV/atom: 0.391
Density in g/cm³: 13.65
Energy in eV per atom: -7.919

Unit cell a=7.185 b=7.185 c=2.946 alpha=90.00 beta=90.00 gamma=90.00
Positions (direct):
Re 0.148 0.352 0.000
Re 0.352 0.852 0.000
Re 0.648 0.148 0.000
Re 0.852 0.648 0.000
As 0.152 0.652 0.500
As 0.348 0.152 0.500
As 0.652 0.848 0.500
As 0.848 0.348 0.500
Rh 0.000 0.000 0.500
Rh 0.500 0.500 0.500

***

Computed, not measured: a geometry-optimized Mg3HCl structure at the PBE level of DFT.

ΔE to the lowest computed polymorph in eV/f.u.: 0.00
Density in g/cm³: 1.80
Energy in eV per atom: -1.906

Unit cell a=4.653 b=4.653 c=4.653 alpha=90.00 beta=90.00 gamma=90.00
Positions (direct):
Mg 0.000 0.000 0.500
Mg 0.000 0.500 0.000
Mg 0.500 0.000 0.000
H 0.000 0.000 0.000
Cl 0.500 0.500 0.500

***

Computed, not measured: a geometry-optimized CrSIN2 structure at the PBE level of DFT.

ΔE to the lowest computed polymorph in eV/f.u.: 6.11
Density in g/cm³: 4.42
Energy in eV per atom: -4.409

Unit cell a=3.588 b=3.588 c=6.972 alpha=90.00 beta=90.00 gamma=90.00
Positions (direct):
Cr 0.000 0.000 0.000
S 0.500 0.500 0.500
I 0.500 0.500 0.000
N 0.000 0.500 0.500
N 0.500 0.000 0.500

***

Computed, not measured: a geometry-optimized Sn3WCl structure at the PBE level of DFT.

ΔE to the lowest computed polymorph in eV/f.u.: 0.00
Density in g/cm³: 6.52
Energy in eV per atom: -5.245

Unit cell a=5.271 b=5.271 c=5.271 alpha=90.00 beta=90.00 gamma=90.00
Positions (direct):
Sn 0.000 0.000 0.500
Sn 0.000 0.500 0.000
Sn 0.500 0.000 0.000
W 0.000 0.000 0.000
Cl 0.500 0.500 0.500

***

Computed, not measured: a geometry-optimized LiCd3B structure at the PBE level of DFT.

ΔE to the lowest computed polymorph in eV/f.u.: 0.00
Energy of formation in eV/atom: 0.365
Density in g/cm³: 6.02
Energy in eV per atom: -1.902

Unit cell a=4.610 b=4.610 c=4.610 alpha=90.00 beta=90.00 gamma=90.00
Positions (direct):
Li 0.000 0.000 0.000
Cd 0.000 0.500 0.500
Cd 0.500 0.000 0.500
Cd 0.500 0.500 0.000
B 0.500 0.500 0.500

***

Computed, not measured: a geometry-optimized BaMgRe structure at the PBE level of DFT.

ΔE to the lowest computed polymorph in eV/f.u.: 0.00
Energy of formation in eV/atom: 0.883
Density in g/cm³: 7.60
Energy in eV per atom: -4.438

Unit cell a=6.401 b=6.401 c=6.401 alpha=152.81 beta=140.48 gamma=48.63
Positions (direct):
Ba 0.000 0.000 0.000
Mg 0.722 0.722 0.000
Re 0.305 0.305 0.000

***

Computed, not measured: a geometry-optimized TaAlPb2 structure at the PBE level of DFT.

Energy of formation in eV/atom: 0.386
Density in g/cm³: 11.39
Energy in eV per atom: -5.367

Unit cell a=3.346 b=4.840 c=5.843 alpha=90.00 beta=106.55 gamma=90.00
Positions (direct):
Ta 0.000 0.000 0.000
Al 0.128 0.500 0.258
Pb 0.398 0.500 0.799
Pb 0.724 0.000 0.449

***

Computed, not measured: a geometry-optimized Ac2TbHoSe6 structure at the PBE level of DFT.

Density in g/cm³: 6.92
Energy in eV per atom: -5.807

Unit cell a=7.178 b=7.904 c=12.775 alpha=90.00 beta=124.07 gamma=90.00
Positions (direct):
Ac 0.213 0.096 0.250
Ac 0.213 0.404 0.750
Ac 0.787 0.596 0.250
Ac 0.787 0.904 0.750
Tb 0.500 0.000 0.000
Tb 0.500 0.500 0.500
Ho 0.000 0.000 0.500
Ho 0.000 0.500 0.000
Se 0.112 0.188 0.935
Se 0.112 0.312 0.435
Se 0.257 0.686 0.935
Se 0.257 0.814 0.435
Se 0.381 0.041 0.749
Se 0.381 0.459 0.249
Se 0.619 0.541 0.751
Se 0.619 0.959 0.251
Se 0.743 0.186 0.565
Se 0.743 0.314 0.065
Se 0.888 0.688 0.565
Se 0.888 0.812 0.065

***

Computed, not measured: a geometry-optimized PmGdGa structure at the PBE level of DFT.

ΔE to the lowest computed polymorph in eV/f.u.: 0.28
Energy of formation in eV/atom: -0.266
Density in g/cm³: 6.79
Energy in eV per atom: -7.552

Unit cell a=5.047 b=5.047 c=5.047 alpha=60.00 beta=60.00 gamma=60.00
Positions (direct):
Pm 0.000 0.000 0.000
Gd 0.500 0.500 0.500
Ga 0.750 0.750 0.750

***

Computed, not measured: a geometry-optimized Ag2OsPt structure at the PBE level of DFT.

ΔE to the lowest computed polymorph in eV/f.u.: 0.63
Energy of formation in eV/atom: 0.411
Density in g/cm³: 15.27
Energy in eV per atom: -5.332

Unit cell a=2.740 b=2.740 c=9.972 alpha=90.00 beta=90.00 gamma=119.19
Positions (direct):
Ag 0.000 0.000 0.250
Ag 0.000 0.000 0.750
Os 0.500 0.500 0.000
Pt 0.500 0.500 0.500

***

Computed, not measured: a geometry-optimized Pm7AsI12 structure at the PBE level of DFT.

Density in g/cm³: 5.47
Energy in eV per atom: -4.190

Unit cell a=9.932 b=9.932 c=9.932 alpha=108.00 beta=108.00 gamma=108.00
Positions (direct):
Pm 0.000 0.000 0.000
Pm 0.188 0.467 0.396
Pm 0.396 0.188 0.467
Pm 0.467 0.396 0.188
Pm 0.533 0.604 0.812
Pm 0.604 0.812 0.533
Pm 0.812 0.533 0.604
As 0.500 0.500 0.500
I 0.031 0.111 0.346
I 0.111 0.346 0.031
I 0.188 0.578 0.730
I 0.270 0.812 0.422
I 0.346 0.031 0.111
I 0.422 0.270 0.812
I 0.578 0.730 0.188
I 0.654 0.969 0.889
I 0.730 0.188 0.578
I 0.812 0.422 0.270
I 0.889 0.654 0.969
I 0.969 0.889 0.654

***

Computed, not measured: a geometry-optimized B7C3 structure at the PBE level of DFT.

ΔE to the lowest computed polymorph in eV/f.u.: 1.00
Energy of formation in eV/atom: 0.392
Density in g/cm³: 2.44
Energy in eV per atom: -7.050

Unit cell a=4.672 b=4.672 c=7.145 alpha=115.76 beta=115.76 gamma=33.12
Positions (direct):
B 0.000 0.000 0.000
B 0.005 0.005 0.551
B 0.209 0.209 0.485
B 0.239 0.239 0.756
B 0.398 0.398 0.292
B 0.594 0.594 0.294
B 0.780 0.780 0.089
C 0.406 0.406 0.519
C 0.598 0.598 0.079
C 0.801 0.801 0.877

***

Computed, not measured: a geometry-optimized NaPb2Br structure at the PBE level of DFT.

ΔE to the lowest computed polymorph in eV/f.u.: 0.76
Density in g/cm³: 7.11
Energy in eV per atom: -2.596

Unit cell a=5.548 b=5.548 c=5.548 alpha=60.00 beta=60.00 gamma=60.00
Positions (direct):
Na 0.000 0.000 0.000
Pb 0.250 0.250 0.250
Pb 0.750 0.750 0.750
Br 0.500 0.500 0.500

***

Computed, not measured: a geometry-optimized K3ScBi structure at the PBE level of DFT.

ΔE to the lowest computed polymorph in eV/f.u.: 0.00
Energy of formation in eV/atom: 0.479
Density in g/cm³: 1.97
Energy in eV per atom: -2.222

Unit cell a=6.787 b=6.787 c=6.787 alpha=90.00 beta=90.00 gamma=90.00
Positions (direct):
K 0.000 0.000 0.500
K 0.000 0.500 0.000
K 0.500 0.000 0.000
Sc 0.500 0.500 0.500
Bi 0.000 0.000 0.000

***

Computed, not measured: a geometry-optimized YNb2TcP structure at the PBE level of DFT.

ΔE to the lowest computed polymorph in eV/f.u.: 11.33
Energy of formation in eV/atom: 2.264
Density in g/cm³: 5.74
Energy in eV per atom: -6.212

Unit cell a=4.914 b=4.914 c=4.837 alpha=90.00 beta=90.00 gamma=90.00
Positions (direct):
Y 0.000 0.000 0.000
Nb 0.000 0.500 0.000
Nb 0.500 0.000 0.000
Tc 0.500 0.500 0.500
P 0.000 0.000 0.500

***

Computed, not measured: a geometry-optimized Tm6CoBi3 structure at the PBE level of DFT.

Energy of formation in eV/atom: -0.284
Density in g/cm³: 9.31
Energy in eV per atom: -4.842

Unit cell a=9.120 b=9.120 c=7.487 alpha=90.00 beta=90.00 gamma=103.25
Positions (direct):
Tm 0.011 0.989 0.500
Tm 0.091 0.609 0.583
Tm 0.242 0.758 0.027
Tm 0.292 0.377 0.070
Tm 0.377 0.292 0.570
Tm 0.391 0.909 0.583
Tm 0.609 0.091 0.083
Tm 0.623 0.708 0.070
Tm 0.708 0.623 0.570
Tm 0.758 0.242 0.527
Tm 0.909 0.391 0.083
Tm 0.989 0.011 0.000
Co 0.135 0.865 0.754
Co 0.865 0.135 0.254
Bi 0.073 0.293 0.746
Bi 0.293 0.073 0.246
Bi 0.394 0.606 0.381
Bi 0.606 0.394 0.881
Bi 0.707 0.927 0.746
Bi 0.927 0.707 0.246

***

Computed, not measured: a geometry-optimized Hf3Cu2Rh structure at the PBE level of DFT.

ΔE to the lowest computed polymorph in eV/f.u.: 0.09
Energy of formation in eV/atom: -0.366
Density in g/cm³: 12.34
Energy in eV per atom: -7.934

Unit cell a=3.290 b=3.290 c=9.516 alpha=90.00 beta=90.00 gamma=90.00
Positions (direct):
Hf 0.000 0.000 0.000
Hf 0.000 0.000 0.332
Hf 0.000 0.000 0.668
Cu 0.500 0.500 0.164
Cu 0.500 0.500 0.836
Rh 0.500 0.500 0.500

***

Computed, not measured: a geometry-optimized Al2Si2O11 structure at the PBE level of DFT.

ΔE to the lowest computed polymorph in eV/f.u.: 0.00
Density in g/cm³: 2.06
Energy in eV per atom: -6.665

Unit cell a=5.210 b=5.210 c=9.991 alpha=97.27 beta=97.27 gamma=118.60
Positions (direct):
Al 0.195 0.805 0.000
Al 0.805 0.195 0.000
Si 0.346 0.997 0.707
Si 0.997 0.346 0.707
O 0.039 0.441 0.875
O 0.106 0.644 0.642
O 0.194 0.194 0.668
O 0.333 0.581 0.323
O 0.441 0.039 0.875
O 0.547 0.547 0.380
O 0.567 0.965 0.110
O 0.581 0.333 0.323
O 0.644 0.106 0.642
O 0.963 0.963 0.979
O 0.965 0.567 0.110

***

Computed, not measured: a geometry-optimized Y7Tm2 structure at the PBE level of DFT.

ΔE to the lowest computed polymorph in eV/f.u.: 0.02
Energy of formation in eV/atom: 0.033
Density in g/cm³: 5.51
Energy in eV per atom: -5.988

Unit cell a=9.677 b=9.677 c=3.569 alpha=90.00 beta=90.00 gamma=120.00
Positions (direct):
Y 0.000 0.000 0.000
Y 0.000 0.363 0.000
Y 0.000 0.693 0.500
Y 0.307 0.307 0.500
Y 0.363 0.000 0.000
Y 0.637 0.637 0.000
Y 0.693 0.000 0.500
Tm 0.333 0.667 0.500
Tm 0.667 0.333 0.500

***

Computed, not measured: a geometry-optimized LiMgMnH6 structure at the PBE level of DFT.

Density in g/cm³: 2.24
Energy in eV per atom: -3.657

Unit cell a=4.370 b=4.370 c=8.252 alpha=90.00 beta=90.00 gamma=120.00
Positions (direct):
Li 0.333 0.667 0.250
Li 0.667 0.333 0.750
Mg 0.000 0.000 0.000
Mg 0.000 0.000 0.500
Mn 0.333 0.667 0.750
Mn 0.667 0.333 0.250
H 0.032 0.515 0.614
H 0.032 0.517 0.886
H 0.483 0.515 0.886
H 0.483 0.968 0.614
H 0.485 0.517 0.614
H 0.485 0.968 0.886
H 0.515 0.032 0.114
H 0.515 0.483 0.386
H 0.517 0.032 0.386
H 0.517 0.485 0.114
H 0.968 0.483 0.114
H 0.968 0.485 0.386

***

Computed, not measured: a geometry-optimized YAs3Pd structure at the PBE level of DFT.

ΔE to the lowest computed polymorph in eV/f.u.: 4.01
Energy of formation in eV/atom: 0.711
Density in g/cm³: 4.55
Energy in eV per atom: -4.411

Unit cell a=5.352 b=5.352 c=5.352 alpha=90.00 beta=90.00 gamma=90.00
Positions (direct):
Y 0.000 0.000 0.000
As 0.000 0.000 0.500
As 0.000 0.500 0.000
As 0.500 0.000 0.000
Pd 0.500 0.500 0.500

***

Computed, not measured: a geometry-optimized ZrCu2Sn2 structure at the PBE level of DFT.

Energy of formation in eV/atom: 0.002
Density in g/cm³: 7.89
Energy in eV per atom: -4.947

Unit cell a=7.808 b=7.808 c=3.145 alpha=90.00 beta=90.00 gamma=90.00
Positions (direct):
Zr 0.000 0.000 0.000
Zr 0.500 0.500 0.000
Cu 0.148 0.352 0.500
Cu 0.352 0.852 0.500
Cu 0.648 0.148 0.500
Cu 0.852 0.648 0.500
Sn 0.148 0.648 0.000
Sn 0.352 0.148 0.000
Sn 0.648 0.852 0.000
Sn 0.852 0.352 0.000